Record 1
A relaxed structure of ZrZn6Fe6. Source: Alexandria via LeMat-Bulk, functional PBE-GGA.

```
ZrZn6Fe6
1.0
-2.4372 4.2659 4.2835
2.4372 -4.2659 4.2835
2.4372 4.2659 -4.2835
Zr Zn Fe
1 6 6
Cartesian
0.0000 0.0000 0.0000 Zr
2.4372 1.7209 0.0000 Zn
0.0000 0.0000 2.8821 Zn
0.0000 2.9715 0.0000 Zn
0.0000 5.5603 0.0000 Zn
0.0000 0.0000 5.6848 Zn
0.0000 2.5450 4.2835 Zn
1.2186 2.1330 -2.1417 Fe
1.2186 -2.1330 2.1417 Fe
2.4372 0.0000 1.9003 Fe
-1.2186 2.1330 2.1417 Fe
1.2186 2.1330 2.1417 Fe
0.0000 4.2659 2.3831 Fe
```

- N(E_F): 10.001 states/eV/cell
- Final energy: -0.1910 Ha/atom
- Formation energy from the elements: -0.0449 eV/atom



Record 2
A relaxed structure of GaHO. Source: Alexandria via LeMat-Bulk, functional PBE-GGA.

```
GaHO
1.0
3.1869 0.0000 0.0000
1.5929 2.7615 0.0000
0.0100 1.8230 4.5018
Ga H O
1 1 1
Cartesian
0.0000 0.0000 0.0000 Ga
3.1868 1.8406 2.1508 H
3.1869 1.8419 1.1468 O
```

- Final energy: -0.1693 Ha/atom



Record 3
A relaxed structure of Ac2Ga6CoIr. Source: Alexandria via LeMat-Bulk, functional PBE-GGA.

```
Ac2Ga6CoIr
1.0
-3.3662 3.3762 4.7674
3.3662 -3.3762 4.7674
3.3662 3.3762 -4.7674
Ac Ga Co Ir
2 6 1 1
Cartesian
0.0000 0.0000 2.3811 Ac
0.0000 0.0000 7.1536 Ac
1.6261 1.7460 0.0000 Ga
1.7401 -1.6302 4.7674 Ga
3.3662 0.0000 2.4651 Ga
0.0000 3.3762 2.3023 Ga
1.6261 5.0064 0.0000 Ga
1.7401 1.6302 4.7674 Ga
0.0000 3.3762 0.0000 Co
3.3662 0.0000 0.0000 Ir
```

- N(E_F): 7.994 states/eV/cell
- Final energy: -0.1714 Ha/atom
- Formation energy from the elements: -0.4290 eV/atom



Record 4
A relaxed structure of La4AsIr. Source: Alexandria via LeMat-Bulk, functional PBE-GGA.

```
La4AsIr
1.0
0.0000 4.3590 4.3590
4.3590 0.0000 4.3590
4.3590 4.3590 0.0000
La As Ir
4 1 1
Cartesian
1.0897 1.0897 1.0897 La
3.2693 3.2693 1.0897 La
3.2693 1.0897 3.2693 La
1.0897 3.2693 3.2693 La
6.5385 6.5385 6.5385 As
4.3590 4.3590 4.3590 Ir
```

- N(E_F): 9.053 states/eV/cell
- Final energy: -0.1901 Ha/atom
- Formation energy from the elements: 0.3650 eV/atom



Record 5
A relaxed structure of PuZn2RhO6. Source: Alexandria via LeMat-Bulk, functional PBE-GGA.

```
PuZn2RhO6
1.0
2.6689 1.5409 4.9543
-2.6689 1.5409 4.9543
0.0000 -3.0818 4.9543
Pu Zn Rh O
1 2 1 6
Cartesian
0.0000 0.0000 0.0000 Pu
0.0000 0.0000 3.1485 Zn
0.0000 0.0000 11.7144 Zn
0.0000 0.0000 7.4314 Rh
-1.7121 0.1368 6.3130 O
-0.9746 -1.4143 8.5499 O
0.7376 -1.5512 6.3130 O
-0.7376 1.5511 8.5499 O
0.9746 1.4143 6.3130 O
1.7121 -0.1368 8.5499 O
```

- N(E_F): 5.635 states/eV/cell
- Final energy: -0.2589 Ha/atom



Record 6
A relaxed structure of Ca4ZnInHg2. Source: Alexandria via LeMat-Bulk, functional PBE-GGA.

```
Ca4ZnInHg2
1.0
2.6721 1.5427 8.7720
-2.6721 1.5427 8.7720
0.0000 -3.0854 8.7720
Ca Zn In Hg
4 1 1 2
Cartesian
0.0000 0.0000 3.2258 Ca
0.0000 0.0000 9.8144 Ca
0.0000 0.0000 16.5017 Ca
0.0000 0.0000 23.0903 Ca
0.0000 0.0000 0.0000 Zn
0.0000 0.0000 13.1581 In
0.0000 0.0000 6.5641 Hg
0.0000 0.0000 19.7521 Hg
```

- N(E_F): 5.509 states/eV/cell
- Final energy: -0.0747 Ha/atom
- Formation energy from the elements: -0.4536 eV/atom



Record 7
A relaxed structure of KErWN3. Source: Alexandria via LeMat-Bulk, functional PBE-GGA.

```
KErWN3
1.0
6.7026 -1.9485 0.0000
6.7026 1.9485 0.0000
-1.9187 0.0000 7.6394
K Er W N
2 2 2 6
Cartesian
1.8590 0.0000 0.5225 K
9.6275 0.0000 7.1170 K
1.0539 0.0000 4.4775 Er
10.4326 0.0000 3.1620 Er
5.2985 0.0000 5.1626 W
6.1880 0.0000 2.4769 W
-0.4866 0.0000 2.6304 N
3.3046 0.0000 4.8568 N
4.4413 0.0000 1.6945 N
7.0451 0.0000 5.9450 N
8.1818 0.0000 2.7826 N
11.9731 0.0000 5.0090 N
```

- N(E_F): 0.147 states/eV/cell
- Final energy: -0.2905 Ha/atom



Record 8
A relaxed structure of PrHoCo. Source: Alexandria via LeMat-Bulk, functional PBE-GGA.

```
PrHoCo
1.0
0.0000 3.3748 3.3748
3.3748 0.0000 3.3748
3.3748 3.3748 0.0000
Pr Ho Co
1 1 1
Cartesian
0.0000 0.0000 0.0000 Pr
3.3748 3.3748 3.3748 Ho
5.0621 5.0621 5.0621 Co
```

- N(E_F): 3.064 states/eV/cell
- Final energy: -0.2010 Ha/atom
- Formation energy from the elements: 0.0179 eV/atom



Record 9
A relaxed structure of LiLa5Tl4. Source: Alexandria via LeMat-Bulk, functional PBE-GGA.

```
LiLa5Tl4
1.0
3.8293 0.0000 0.0000
0.0000 3.8293 0.0000
0.0000 0.0000 21.2287
Li La Tl
1 5 4
Cartesian
0.0000 0.0000 0.0000 Li
1.9147 1.9147 2.0424 La
1.9147 1.9147 6.2928 La
1.9147 1.9147 10.6144 La
1.9147 1.9147 14.9359 La
1.9147 1.9147 19.1863 La
0.0000 0.0000 4.0663 Tl
0.0000 0.0000 8.4346 Tl
0.0000 0.0000 12.7942 Tl
0.0000 0.0000 17.1624 Tl
```

- N(E_F): 9.879 states/eV/cell
- Final energy: -0.1444 Ha/atom
- Formation energy from the elements: -0.3284 eV/atom



Record 10
A relaxed structure of AsRuRh2N. Source: Alexandria via LeMat-Bulk, functional PBE-GGA.

```
AsRuRh2N
1.0
4.7592 0.0000 0.0000
0.0000 4.7592 0.0000
0.0000 0.0000 4.6251
As Ru Rh N
1 1 2 1
Cartesian
0.0000 0.0000 0.0000 As
0.0000 0.0000 2.3126 Ru
0.0000 2.3796 2.3126 Rh
2.3796 0.0000 2.3126 Rh
2.3796 2.3796 0.0000 N
```

- N(E_F): 6.506 states/eV/cell
- Final energy: -0.1945 Ha/atom



Record 11
A relaxed structure of MgGaHgH2. Source: Alexandria via LeMat-Bulk, functional PBE-GGA.

```
MgGaHgH2
1.0
3.8414 0.0000 0.0000
0.0000 3.8414 0.0000
0.0000 0.0000 5.7531
Mg Ga Hg H
1 1 1 2
Cartesian
0.0000 0.0000 0.0000 Mg
1.9207 1.9207 0.0000 Ga
1.9207 1.9207 2.8766 Hg
0.0000 1.9207 2.8766 H
1.9207 0.0000 2.8766 H
```

- N(E_F): 1.520 states/eV/cell
- Final energy: -0.0719 Ha/atom



Record 12
A relaxed structure of NaP2PtO. Source: Alexandria via LeMat-Bulk, functional PBE-GGA.

```
NaP2PtO
1.0
4.6577 0.0000 0.0000
0.0000 4.6577 0.0000
0.0000 0.0000 4.3848
Na P Pt O
1 2 1 1
Cartesian
0.0000 0.0000 0.0000 Na
0.0000 2.3288 2.1924 P
2.3288 0.0000 2.1924 P
2.3288 2.3288 2.1924 Pt
2.3288 2.3288 0.0000 O
```

- N(E_F): 3.341 states/eV/cell
- Final energy: -0.1589 Ha/atom